# 1
Below is a PBEsol-optimized structure of LiCr3S, with properties calculated at the meta-GGA SCAN level.

Computed properties:
**Total magnetization**: 8.868 μB/cell
**N(E_F)**: 0.818 states/eV/atom
**Formation energy without anion corrections**: 1.327 eV/atom

Unit cell a=4.037 b=4.037 c=4.037 alpha=90.00 beta=90.00 gamma=90.00
Space group Pm-3m (No. 221)
Symmetry-distinct sites (fractional):
Li1 0.000 0.000 0.000 (multiplicity 1)
Cr1 0.000 0.000 0.500 (multiplicity 3)
S1 0.500 0.500 0.500 (multiplicity 1)

# 2
Below is a PBEsol-optimized structure of LiCrS3, with properties calculated at the meta-GGA SCAN level.

Computed properties:
**Total magnetization**: 1.945 μB/cell
**N(E_F)**: 0.832 states/eV/atom
**Formation energy without anion corrections**: -0.370 eV/atom

Unit cell a=4.505 b=4.505 c=4.505 alpha=90.00 beta=90.00 gamma=90.00
Space group Pm-3m (No. 221)
Symmetry-distinct sites (fractional):
Li1 0.000 0.000 0.000 (multiplicity 1)
Cr1 0.500 0.500 0.500 (multiplicity 1)
S1 0.000 0.500 0.500 (multiplicity 3)

- Which of these has the highest N(E_F)?
  LiCrS3

- The lowest total magnetization belongs to which entry?
  LiCrS3